Si2AgMo | PBE | relaxed

## Properties
For the energy relative to the lowest polymorph listed for this composition, the calculation gives 0.00 eV per formula unit. The calculation puts the uncorrected formation energy at 72 meV/atom. Its space group is P4mm, No. 99.

abc: 3.4252 3.4252 5.2267
angles: 90.00 90.00 90.00
Closest atoms and distances in Å follow each position.
Fractional positions:
1 Si 0.0000 0.0000 0.0000  4 Mo 2.59, 2 Ag 2.60-2.63, 4 Si 2.86
2 Si 0.5000 0.5000 0.2925  1 Mo 2.46, 4 Ag 2.65
3 Ag 0.0000 0.0000 0.4967  6 Si 2.60-2.65
4 Mo 0.5000 0.5000 0.8226  5 Si 2.46-2.59

Si2AgMo | PBE | relaxed

## Properties
For the energy relative to the lowest polymorph listed for this composition, the calculation gives 1.05 eV per formula unit. The calculation puts the uncorrected formation energy at 334 meV/atom. Its space group is R3m, No. 160.

abc: 2.9429 2.9429 24.8915
angles: 90.00 90.00 120.00
Closest atoms and distances in Å follow each position.
Fractional positions:
1 Si 0.0000 0.0000 0.0000  3 Si 2.52, 3 Mo 2.58
2 Si 0.0000 0.0000 0.2588  3 Si 2.52, 3 Ag 2.70
3 Si 0.3333 0.6667 0.6667  3 Si 2.52, 3 Mo 2.58
4 Si 0.3333 0.6667 0.9254  3 Si 2.52, 3 Ag 2.70
5 Si 0.6667 0.3333 0.3333  3 Si 2.52, 3 Mo 2.58
6 Si 0.6667 0.3333 0.5921  3 Si 2.52, 3 Ag 2.70
7 Ag 0.0000 0.0000 0.5079  3 Si 2.70, 6 Ag 2.94, 3 Mo 2.95
8 Ag 0.3333 0.6667 0.1746  3 Si 2.70, 6 Ag 2.94, 3 Mo 2.95
9 Ag 0.6667 0.3333 0.8412  3 Si 2.70, 6 Ag 2.94, 3 Mo 2.95
10 Mo 0.0000 0.0000 0.7445  3 Si 2.58
11 Mo 0.3333 0.6667 0.4112  3 Si 2.58
12 Mo 0.6667 0.3333 0.0778  3 Si 2.58

AgSn3Mo | PBE | relaxed

## Properties
The value obtained for the energy of formation is 0.45 eV/atom. For the energy relative to the lowest polymorph listed for this composition, the calculation gives 0.00 eV per formula unit. Its space group is Pm-3m, No. 221.

abc: 5.2496 5.2496 5.2496
angles: 90.00 90.00 90.00
Closest atoms and distances in Å follow each position.
Fractional positions:
1 Ag 0.0000 0.0000 0.0000  12 Sn 3.71
2 Sn 0.0000 0.5000 0.5000  2 Mo 2.62
3 Sn 0.5000 0.0000 0.5000  2 Mo 2.62
4 Sn 0.5000 0.5000 0.0000  2 Mo 2.62
5 Mo 0.5000 0.5000 0.5000  6 Sn 2.62

AgSn2Mo2 | PBE | relaxed

## Properties
The value obtained for the energy of formation is 0.33 eV/atom. Its space group is P4/mbm, No. 127.

abc: 7.8300 7.8300 3.2419
angles: 90.00 90.00 90.00
Closest atoms and distances in Å follow each position.
Fractional positions:
1 Ag 0.0000 0.0000 0.0000  4 Mo 3.17, 2 Ag 3.24, 8 Sn 3.30
2 Ag 0.5000 0.5000 0.0000  4 Mo 3.17, 2 Ag 3.24, 8 Sn 3.30
3 Sn 0.1815 0.3185 0.5000  6 Mo 2.82-2.86
4 Sn 0.3185 0.8185 0.5000  6 Mo 2.82-2.86
5 Sn 0.6815 0.1815 0.5000  6 Mo 2.82-2.86
6 Sn 0.8185 0.6815 0.5000  6 Mo 2.82-2.86
7 Mo 0.1103 0.6103 0.0000  1 Mo 2.44
8 Mo 0.3897 0.1103 0.0000  1 Mo 2.44
9 Mo 0.6103 0.8897 0.0000  1 Mo 2.44
10 Mo 0.8897 0.3897 0.0000  1 Mo 2.44

Ag2SnMo | PBE | relaxed

## Properties
The value obtained for the energy of formation is 0.57 eV/atom. Its space group is I-42d, No. 122.

abc: 3.9091 3.9091 21.0677
angles: 90.00 90.00 90.00
Closest atoms and distances in Å follow each position.
Fractional positions:
1 Ag 0.2459 0.2500 0.1250  4 Ag 2.74-2.79, 2 Mo 2.97, 2 Sn 2.98
2 Ag 0.2500 0.7459 0.3750  4 Ag 2.74-2.79, 2 Mo 2.97, 2 Sn 2.98
3 Ag 0.2500 0.7541 0.8750  4 Ag 2.74-2.79, 2 Mo 2.97, 2 Sn 2.98
4 Ag 0.2541 0.2500 0.6250  4 Ag 2.74-2.79, 2 Mo 2.97, 2 Sn 2.98
5 Ag 0.7459 0.7500 0.6250  4 Ag 2.74-2.79, 2 Mo 2.97, 2 Sn 2.98
6 Ag 0.7500 0.2459 0.8750  4 Ag 2.74-2.79, 2 Mo 2.97, 2 Sn 2.98
7 Ag 0.7500 0.2541 0.3750  4 Ag 2.74-2.79, 2 Mo 2.97, 2 Sn 2.98
8 Ag 0.7541 0.7500 0.1250  4 Ag 2.74-2.79, 2 Mo 2.97, 2 Sn 2.98
9 Sn 0.0000 0.0000 0.5000  4 Mo 2.76, 4 Ag 2.98
10 Sn 0.0000 0.5000 0.7500  4 Mo 2.76, 4 Ag 2.98
11 Sn 0.5000 0.0000 0.2500  4 Mo 2.76, 4 Ag 2.98
12 Sn 0.5000 0.5000 0.0000  4 Mo 2.76, 4 Ag 2.98
13 Mo 0.0000 0.0000 0.0000  4 Sn 2.76, 4 Ag 2.97
14 Mo 0.0000 0.5000 0.2500  4 Sn 2.76, 4 Ag 2.97
15 Mo 0.5000 0.0000 0.7500  4 Sn 2.76, 4 Ag 2.97
16 Mo 0.5000 0.5000 0.5000  4 Sn 2.76, 4 Ag 2.97

Ag3SnMo | PBE | relaxed

## Properties
The value obtained for the energy of formation is 1.25 eV/atom. For the energy relative to the lowest polymorph listed for this composition, the calculation gives 0.00 eV per formula unit. Its space group is Pm-3m, No. 221.

abc: 5.1441 5.1441 5.1441
angles: 90.00 90.00 90.00
Closest atoms and distances in Å follow each position.
Fractional positions:
1 Ag 0.0000 0.0000 0.5000  2 Sn 2.57
2 Ag 0.0000 0.5000 0.0000  2 Sn 2.57
3 Ag 0.5000 0.0000 0.0000  2 Sn 2.57
4 Sn 0.0000 0.0000 0.0000  6 Ag 2.57
5 Mo 0.5000 0.5000 0.5000  12 Ag 3.64

Ag3SnMo | PBE | relaxed

## Properties
The value obtained for the energy of formation is 1.38 eV/atom. For the energy relative to the lowest polymorph listed for this composition, the calculation gives 0.64 eV per formula unit. Its space group is Pm-3m, No. 221.

abc: 5.1751 5.1751 5.1751
angles: 90.00 90.00 90.00
Closest atoms and distances in Å follow each position.
Fractional positions:
1 Ag 0.0000 0.0000 0.5000  2 Mo 2.59
2 Ag 0.0000 0.5000 0.0000  2 Mo 2.59
3 Ag 0.5000 0.0000 0.0000  2 Mo 2.59
4 Sn 0.5000 0.5000 0.5000  12 Ag 3.66
5 Mo 0.0000 0.0000 0.0000  6 Ag 2.59

AgSn2Mo | PBE | relaxed

## Properties
The value obtained for the energy of formation is 0.68 eV/atom. For the energy relative to the lowest polymorph listed for this composition, the calculation gives 0.84 eV per formula unit. Its space group is I-42d, No. 122.

abc: 7.6245 7.6245 6.1363
angles: 90.00 90.00 90.00
Closest atoms and distances in Å follow each position.
Fractional positions:
1 Ag 0.0000 0.0000 0.0000  4 Sn 2.80, 2 Mo 3.07
2 Ag 0.0000 0.5000 0.2500  4 Sn 2.80, 2 Mo 3.07
3 Ag 0.5000 0.0000 0.7500  4 Sn 2.80, 2 Mo 3.07
4 Ag 0.5000 0.5000 0.5000  4 Sn 2.80, 2 Mo 3.07
5 Sn 0.2489 0.7500 0.1250  2 Ag 2.80, 2 Mo 2.81, 2 Sn 3.07
6 Sn 0.2500 0.2489 0.8750  2 Ag 2.80, 2 Mo 2.81, 2 Sn 3.07
7 Sn 0.2500 0.2511 0.3750  2 Ag 2.80, 2 Mo 2.81, 2 Sn 3.07
8 Sn 0.2511 0.7500 0.6250  2 Ag 2.80, 2 Mo 2.81, 2 Sn 3.07
9 Sn 0.7489 0.2500 0.6250  2 Ag 2.80, 2 Mo 2.81, 2 Sn 3.07
10 Sn 0.7500 0.7489 0.3750  2 Ag 2.80, 2 Mo 2.81, 2 Sn 3.07
11 Sn 0.7500 0.7511 0.8750  2 Ag 2.80, 2 Mo 2.81, 2 Sn 3.07
12 Sn 0.7511 0.2500 0.1250  2 Ag 2.80, 2 Mo 2.81, 2 Sn 3.07
13 Mo 0.0000 0.0000 0.5000  4 Sn 2.81, 2 Ag 3.07
14 Mo 0.0000 0.5000 0.7500  4 Sn 2.81, 2 Ag 3.07
15 Mo 0.5000 0.0000 0.2500  4 Sn 2.81, 2 Ag 3.07
16 Mo 0.5000 0.5000 0.0000  4 Sn 2.81, 2 Ag 3.07

AgSnMo2 | PBE | relaxed

## Properties
The value obtained for the energy of formation is 0.92 eV/atom. Its space group is I-42d, No. 122.

abc: 7.5119 7.5119 5.4323
angles: 90.00 90.00 90.00
Closest atoms and distances in Å follow each position.
Fractional positions:
1 Ag 0.0000 0.0000 0.0000  2 Sn 2.72, 4 Mo 2.76
2 Ag 0.0000 0.5000 0.2500  2 Sn 2.72, 4 Mo 2.76
3 Ag 0.5000 0.0000 0.7500  2 Sn 2.72, 4 Mo 2.76
4 Ag 0.5000 0.5000 0.5000  2 Sn 2.72, 4 Mo 2.76
5 Sn 0.0000 0.0000 0.5000  2 Ag 2.72, 4 Mo 2.72
6 Sn 0.0000 0.5000 0.7500  2 Ag 2.72, 4 Mo 2.72
7 Sn 0.5000 0.0000 0.2500  2 Ag 2.72, 4 Mo 2.72
8 Sn 0.5000 0.5000 0.0000  2 Ag 2.72, 4 Mo 2.72
9 Mo 0.2459 0.2500 0.6250  2 Mo 2.72, 2 Sn 2.72, 2 Ag 2.76
10 Mo 0.2500 0.7459 0.8750  2 Mo 2.72, 2 Sn 2.72, 2 Ag 2.76
11 Mo 0.2500 0.7541 0.3750  2 Mo 2.72, 2 Sn 2.72, 2 Ag 2.76
12 Mo 0.2541 0.2500 0.1250  2 Mo 2.72, 2 Sn 2.72, 2 Ag 2.76
13 Mo 0.7459 0.7500 0.1250  2 Mo 2.72, 2 Sn 2.72, 2 Ag 2.76
14 Mo 0.7500 0.2459 0.3750  2 Mo 2.72, 2 Sn 2.72, 2 Ag 2.76
15 Mo 0.7500 0.2541 0.8750  2 Mo 2.72, 2 Sn 2.72, 2 Ag 2.76
16 Mo 0.7541 0.7500 0.6250  2 Mo 2.72, 2 Sn 2.72, 2 Ag 2.76

AgSn2Mo | PBE | relaxed

## Properties
The value obtained for the energy of formation is 0.47 eV/atom. For the energy relative to the lowest polymorph listed for this composition, the calculation gives 0.00 eV per formula unit. Its space group is Fm-3m, No. 225.

abc: 6.8532 6.8532 6.8532
angles: 90.00 90.00 90.00
Closest atoms and distances in Å follow each position.
Fractional positions:
1 Ag 0.0000 0.0000 0.0000  8 Sn 2.97
2 Ag 0.0000 0.5000 0.5000  8 Sn 2.97
3 Ag 0.5000 0.0000 0.5000  8 Sn 2.97
4 Ag 0.5000 0.5000 0.0000  8 Sn 2.97
5 Sn 0.2500 0.2500 0.2500  4 Mo 2.97, 4 Ag 2.97
6 Sn 0.2500 0.2500 0.7500  4 Mo 2.97, 4 Ag 2.97
7 Sn 0.2500 0.7500 0.2500  4 Mo 2.97, 4 Ag 2.97
8 Sn 0.2500 0.7500 0.7500  4 Mo 2.97, 4 Ag 2.97
9 Sn 0.7500 0.2500 0.2500  4 Mo 2.97, 4 Ag 2.97
10 Sn 0.7500 0.2500 0.7500  4 Mo 2.97, 4 Ag 2.97
11 Sn 0.7500 0.7500 0.2500  4 Mo 2.97, 4 Ag 2.97
12 Sn 0.7500 0.7500 0.7500  4 Mo 2.97, 4 Ag 2.97
13 Mo 0.0000 0.0000 0.5000  8 Sn 2.97
14 Mo 0.0000 0.5000 0.0000  8 Sn 2.97
15 Mo 0.5000 0.0000 0.0000  8 Sn 2.97
16 Mo 0.5000 0.5000 0.5000  8 Sn 2.97

TlAgSn2Mo | PBE | relaxed

## Properties
The value obtained for the energy of formation is 0.58 eV/atom. Its space group is P4/mmm, No. 123.

abc: 5.2473 5.2473 5.4207
angles: 90.00 90.00 90.00
Closest atoms and distances in Å follow each position.
Fractional positions:
1 Tl 0.0000 0.0000 0.0000  2 Mo 2.71
2 Ag 0.5000 0.5000 0.0000  4 Tl 3.71, 8 Sn 3.77
3 Sn 0.0000 0.5000 0.5000  2 Mo 2.62
4 Sn 0.5000 0.0000 0.5000  2 Mo 2.62
5 Mo 0.0000 0.0000 0.5000  4 Sn 2.62, 2 Tl 2.71

Sr2AgMo | PBE | relaxed

## Properties
The value obtained for the energy of formation is 0.76 eV/atom. For the energy relative to the lowest polymorph listed for this composition, the calculation gives 0.69 eV per formula unit. Its space group is I-4m2, No. 119.

abc: 4.7059 4.7059 10.7117
angles: 90.00 90.00 90.00
Closest atoms and distances in Å follow each position.
Fractional positions:
1 Sr 0.0000 0.0000 0.0000  4 Mo 3.33, 4 Sr 3.56, 4 Ag 3.56
2 Sr 0.0000 0.5000 0.2500  4 Ag 3.33, 4 Mo 3.56, 4 Sr 3.56
3 Sr 0.5000 0.0000 0.7500  4 Ag 3.33, 4 Mo 3.56, 4 Sr 3.56
4 Sr 0.5000 0.5000 0.5000  4 Mo 3.33, 4 Sr 3.56, 4 Ag 3.56
5 Ag 0.0000 0.5000 0.7500  8 Sr 3.33-3.56, 4 Mo 3.56
6 Ag 0.5000 0.0000 0.2500  8 Sr 3.33-3.56, 4 Mo 3.56
7 Mo 0.0000 0.0000 0.5000  8 Sr 3.33-3.56, 4 Ag 3.56
8 Mo 0.5000 0.5000 0.0000  8 Sr 3.33-3.56, 4 Ag 3.56

SrAg2Mo | PBE | relaxed

## Properties
The value obtained for the energy of formation is 0.60 eV/atom. For the energy relative to the lowest polymorph listed for this composition, the calculation gives 0.22 eV per formula unit. Its space group is Fm-3m, No. 225.

abc: 7.1786 7.1786 7.1786
angles: 90.00 90.00 90.00
Closest atoms and distances in Å follow each position.
Fractional positions:
1 Sr 0.0000 0.0000 0.0000  8 Ag 3.11
2 Sr 0.0000 0.5000 0.5000  8 Ag 3.11
3 Sr 0.5000 0.0000 0.5000  8 Ag 3.11
4 Sr 0.5000 0.5000 0.0000  8 Ag 3.11
5 Ag 0.2500 0.2500 0.2500  4 Sr 3.11, 4 Mo 3.11
6 Ag 0.2500 0.2500 0.7500  4 Mo 3.11, 4 Sr 3.11
7 Ag 0.2500 0.7500 0.2500  4 Mo 3.11, 4 Sr 3.11
8 Ag 0.2500 0.7500 0.7500  4 Sr 3.11, 4 Mo 3.11
9 Ag 0.7500 0.2500 0.2500  4 Mo 3.11, 4 Sr 3.11
10 Ag 0.7500 0.2500 0.7500  4 Sr 3.11, 4 Mo 3.11
11 Ag 0.7500 0.7500 0.2500  4 Mo 3.11, 4 Sr 3.11
12 Ag 0.7500 0.7500 0.7500  4 Mo 3.11, 4 Sr 3.11
13 Mo 0.0000 0.0000 0.5000  8 Ag 3.11
14 Mo 0.0000 0.5000 0.0000  8 Ag 3.11
15 Mo 0.5000 0.0000 0.0000  8 Ag 3.11
16 Mo 0.5000 0.5000 0.5000  8 Ag 3.11

SrAg2Mo | PBE | relaxed

## Properties
The value obtained for the energy of formation is 0.55 eV/atom. For the energy relative to the lowest polymorph listed for this composition, the calculation gives 0.00 eV per formula unit. Its space group is Pmmm, No. 47.

abc: 2.9911 4.1033 7.0640
angles: 90.00 90.00 90.00
Closest atoms and distances in Å follow each position.
Fractional positions:
1 Sr 0.0000 0.0000 0.0000  2 Sr 2.99, 8 Ag 3.31
2 Ag 0.5000 0.5000 0.3013  3 Ag 2.81-2.99, 4 Mo 2.90
3 Ag 0.5000 0.5000 0.6987  3 Ag 2.81-2.99, 4 Mo 2.90
4 Mo 0.0000 0.0000 0.5000  8 Ag 2.90, 2 Mo 2.99